First-principles (PBE) data for a relaxed structure of Tl2CuSn2, as listed in Alexandria.

Structure (POSCAR):
```
Tl2CuSn2
1.0
-4.365 -3.835 -4.366
-3.825 -2.215 5.770
-3.063 4.034 -0.482
Cu Sn Tl
2 4 4
direct
0.000 0.000 0.000
0.500 0.500 0.000
0.842 0.342 0.500
0.342 0.158 0.500
0.158 0.658 0.500
0.658 0.842 0.500
0.159 0.341 0.000
0.341 0.841 0.000
0.659 0.159 0.000
0.841 0.659 0.000
```

- Symmetry: P4/mbm, No. 127
- Theoretical density: 8.8 g/cm3
- VASP energy: -30.668 eV per cell
- M_tot: 0.0 μB/cell
- Energy relative to the lowest polymorph listed for this composition: 0.1954 eV/atom